Entry 1:
PmMg2WN4, optimized geometry, DFT PBE-GGA; calculated density = 6.1 Mg/m³; formation energy from raw total energies = -6.91 eV per formula unit; E_tot = -7.638 eV/atom
1.0
5.311 0.000 0.000
0.000 6.078 0.000
0.000 0.000 7.267
W Mg Pm N
2 4 2 8
Cartesian
5.249 1.123 0.000 W
2.594 4.955 3.634 W
2.599 2.060 1.843 Mg
5.255 4.018 1.790 Mg
2.599 2.060 5.424 Mg
5.255 4.018 5.477 Mg
2.461 5.178 0.000 Pm
5.117 0.900 3.634 Pm
4.694 2.009 5.697 N
4.498 4.704 3.634 N
1.842 1.375 0.000 N
2.038 4.069 2.063 N
2.417 0.868 3.634 N
2.038 4.069 5.204 N
5.073 5.210 0.000 N
4.694 2.009 1.570 N

Entry 2:
Pr2Mg2Sb2N, optimized geometry, DFT PBE-GGA; calculated density = 5.9 Mg/m³; formation energy from raw total energies = -6.63 eV per formula unit; E_tot = -5.136 eV/atom
1.0
-0.175 0.757 4.468
-2.161 -3.944 0.583
8.230 -2.141 -1.617
N Pr Mg Sb
1 2 2 2
Cartesian
0.000 0.000 0.000 N
2.175 -1.150 0.280 Pr
3.719 -4.178 3.155 Pr
-0.087 0.378 2.234 Mg
-1.080 -1.972 0.292 Mg
0.734 -2.600 2.770 Sb
5.160 -2.729 0.664 Sb

Entry 3:
Pr2MgSnN, optimized geometry, DFT PBE-GGA; calculated density = 6.3 Mg/m³; formation energy from raw total energies = -4.08 eV per formula unit; E_tot = -5.512 eV/atom
1.0
4.416 0.000 0.000
0.000 5.124 0.000
0.000 0.000 5.124
Pr Mg N Sn
2 1 1 1
Cartesian
0.000 2.562 0.000 Pr
0.000 0.000 2.562 Pr
2.208 0.000 0.000 Mg
0.000 0.000 0.000 N
2.208 2.562 2.562 Sn

Entry 4:
PrMg2TaN4, optimized geometry, DFT PBE-GGA; calculated density = 5.8 Mg/m³; formation energy from raw total energies = -9.10 eV per formula unit; E_tot = -7.778 eV/atom
1.0
-4.292 3.203 1.088
0.225 -1.670 5.805
4.544 5.601 1.435
Pr N Mg Ta
2 8 4 2
Cartesian
-1.864 0.145 5.338 Pr
-1.887 5.649 2.768 Pr
-0.185 1.673 4.653 N
1.803 4.125 5.281 N
-3.819 1.550 6.045 N
-2.687 3.465 3.231 N
-1.473 0.786 1.595 N
0.433 3.971 1.969 N
-1.215 4.214 6.242 N
-0.132 6.615 4.038 N
1.368 5.215 3.547 Mg
-2.974 3.460 5.305 Mg
-0.695 6.269 6.025 Mg
-0.896 2.423 2.832 Mg
-4.237 2.875 2.191 Ta
0.321 3.041 5.957 Ta

Entry 5:
PrMg2TcN4, optimized geometry, DFT PBE-GGA; calculated density = 5.3 Mg/m³; formation energy from raw total energies = -4.46 eV per formula unit; E_tot = -7.012 eV/atom
1.0
-2.712 1.396 -1.342
0.460 -5.537 -2.549
-6.121 -4.194 8.007
Mg Pr N Tc
4 2 8 2
Cartesian
-4.413 -2.343 2.344 Mg
-3.961 -5.992 1.772 Mg
-1.761 -0.526 -1.125 Mg
-6.612 -7.809 5.240 Mg
-3.659 -4.519 -1.443 Pr
-4.715 -3.816 5.559 Pr
-3.049 -1.231 0.745 N
-2.847 -4.303 1.279 N
0.000 0.000 0.000 N
-7.162 -5.153 4.977 N
-5.324 -7.105 3.371 N
-5.527 -4.032 2.837 N
-1.212 -3.183 -0.861 N
-3.061 -2.097 4.003 N
-1.871 -2.890 0.776 Tc
-6.502 -5.445 3.339 Tc

Entry 6:
PrMg2WN4, optimized geometry, DFT PBE-GGA; calculated density = 6.5 Mg/m³; formation energy from raw total energies = -5.78 eV per formula unit; E_tot = -7.500 eV/atom
1.0
3.328 0.000 0.000
-1.664 6.035 0.000
0.000 0.000 10.888
N Mg W Pr
8 4 2 2
Cartesian
1.664 1.096 2.722 N
1.664 2.604 6.753 N
0.000 0.000 0.000 N
1.664 2.604 9.578 N
0.000 0.000 5.444 N
0.000 3.431 4.135 N
0.000 4.939 8.166 N
0.000 3.431 1.309 N
1.664 1.317 0.305 Mg
0.000 4.718 10.583 Mg
0.000 4.718 5.749 Mg
1.664 1.317 5.139 Mg
0.000 2.292 2.722 W
1.664 3.743 8.166 W
0.000 0.867 8.166 Pr
1.664 5.167 2.722 Pr

Entry 7:
MgPtN3, optimized geometry, DFT PBE-GGA; calculated density = 7.6 Mg/m³; formation energy from raw total energies = 10.67 eV per formula unit; E_tot = -4.388 eV/atom
1.0
3.855 0.000 0.000
0.000 3.855 0.000
0.000 0.000 3.855
N Mg Pt
3 1 1
Cartesian
1.928 0.000 0.000 N
0.000 0.000 1.928 N
0.000 1.928 0.000 N
0.000 0.000 0.000 Mg
1.928 1.928 1.928 Pt

Entry 8:
Mg2PtN, optimized geometry, DFT PBE-GGA; calculated density = 7.3 Mg/m³; formation energy from raw total energies = -0.89 eV per formula unit; E_tot = -4.610 eV/atom
1.0
6.452 0.000 0.000
0.000 6.452 0.000
3.226 3.226 2.832
N Mg Pt
2 4 2
Cartesian
3.226 3.226 0.000 N
3.226 6.452 1.416 N
8.065 7.501 2.124 Mg
2.177 4.839 0.708 Mg
4.839 5.403 2.124 Mg
4.275 1.613 0.708 Mg
6.452 3.226 1.416 Pt
0.000 0.000 0.000 Pt

Entry 9:
Mg3PtN, optimized geometry, DFT PBE-GGA; calculated density = 4.0 Mg/m³; formation energy from raw total energies = 3.60 eV per formula unit; distance to the lowest polymorph of the same formula = 1.380 eV per atom; E_tot = -3.111 eV/atom
1.0
-0.204 0.621 4.838
4.482 -1.886 0.431
1.924 4.459 -0.492
N Mg Pt
1 3 1
Cartesian
3.101 1.597 2.388 N
-0.102 0.311 2.419 Mg
0.962 2.230 -0.246 Mg
2.241 -0.943 0.216 Mg
0.000 0.000 0.000 Pt

Entry 10:
Mg3PtN, optimized geometry, DFT PBE-GGA; calculated density = 6.3 Mg/m³; formation energy from raw total energies = -3.30 eV per formula unit; distance to the lowest polymorph of the same formula = 0.000 eV per atom; E_tot = -4.491 eV/atom
1.0
-3.231 -0.534 2.643
-1.760 -2.708 -2.697
2.043 -3.176 1.856
Mg Pt N
3 1 1
Cartesian
-0.880 -1.354 -1.349 Mg
-1.615 -0.267 1.322 Mg
1.022 -1.588 0.928 Mg
-1.474 -3.209 0.901 Pt
0.000 0.000 0.000 N

Entry 11:
MgPtSN2, optimized geometry, DFT PBE-GGA; calculated density = 4.2 Mg/m³; formation energy from raw total energies = 3.07 eV per formula unit; distance to the lowest polymorph of the same formula = 0.000 eV per atom; E_tot = -5.069 eV/atom
1.0
-0.497 1.338 -3.418
3.171 -1.582 -1.081
-4.041 -6.707 -2.039
N Mg S Pt
2 1 1 1
Cartesian
-0.249 0.669 -1.709 N
1.585 -0.791 -0.540 N
-0.684 -3.475 -3.269 Mg
-2.020 -3.353 -1.019 S
0.000 0.000 0.000 Pt

Entry 12:
MgPtSN2, optimized geometry, DFT PBE-GGA; calculated density = 6.1 Mg/m³; formation energy from raw total energies = 7.85 eV per formula unit; distance to the lowest polymorph of the same formula = 0.957 eV per atom; E_tot = -4.112 eV/atom
1.0
-2.721 0.210 -2.719
-2.727 -0.153 2.717
0.054 5.143 0.344
Pt S N Mg
1 1 2 1
Cartesian
-2.697 2.600 0.171 Pt
0.027 2.572 0.172 S
-1.360 0.105 -1.360 N
-1.364 -0.077 1.358 N
0.000 0.000 0.000 Mg

Entry 13:
Mg2ScPtN, optimized geometry, DFT PBE-GGA; calculated density = 6.5 Mg/m³; formation energy from raw total energies = -4.59 eV per formula unit; E_tot = -5.695 eV/atom
1.0
4.235 0.000 0.000
0.000 4.235 0.000
0.000 0.000 4.317
Mg N Pt Sc
2 1 1 1
Cartesian
2.118 0.000 0.000 Mg
0.000 2.118 0.000 Mg
0.000 0.000 0.000 N
2.118 2.118 2.158 Pt
0.000 0.000 2.158 Sc

Entry 14:
MgPtSeN2, optimized geometry, DFT PBE-GGA; calculated density = 4.7 Mg/m³; formation energy from raw total energies = 3.21 eV per formula unit; distance to the lowest polymorph of the same formula = 0.000 eV per atom; E_tot = -4.912 eV/atom
1.0
3.743 0.000 0.000
0.000 3.743 0.000
0.000 0.000 8.187
Mg N Se Pt
1 2 1 1
Cartesian
1.872 1.872 4.093 Mg
1.872 0.000 0.000 N
0.000 1.872 0.000 N
0.000 0.000 4.093 Se
0.000 0.000 0.000 Pt

Entry 15:
MgPtSeN2, optimized geometry, DFT PBE-GGA; calculated density = 6.3 Mg/m³; formation energy from raw total energies = 7.40 eV per formula unit; distance to the lowest polymorph of the same formula = 0.837 eV per atom; E_tot = -4.075 eV/atom
1.0
-2.801 2.112 -1.664
0.704 -1.743 -3.397
-3.800 -4.031 1.281
Pt Mg Se N
1 1 1 2
Cartesian
-2.949 -1.831 -1.890 Pt
0.000 0.000 0.000 Mg
-1.900 -2.016 0.641 Se
0.352 -0.871 -1.699 N
-1.401 1.056 -0.832 N

Entry 16:
MgPtSe2N, optimized geometry, DFT PBE-GGA; calculated density = 6.7 Mg/m³; formation energy from raw total energies = 4.74 eV per formula unit; distance to the lowest polymorph of the same formula = 0.761 eV per atom; E_tot = -3.639 eV/atom
1.0
-4.201 1.539 2.305
0.382 -3.823 3.251
2.084 2.193 2.334
Mg Pt Se N
1 1 2 1
Cartesian
0.000 0.000 0.000 Mg
-0.867 -0.046 3.945 Pt
0.191 -1.912 1.625 Se
-2.101 0.770 1.152 Se
1.042 1.096 1.167 N

Entry 17:
MgPtSe2N, optimized geometry, DFT PBE-GGA; calculated density = 6.4 Mg/m³; formation energy from raw total energies = 0.93 eV per formula unit; distance to the lowest polymorph of the same formula = 0.000 eV per atom; E_tot = -4.400 eV/atom
1.0
5.260 0.000 0.000
0.000 3.683 0.000
0.000 0.000 5.260
Pt N Mg Se
1 1 1 2
Cartesian
0.000 0.000 0.000 Pt
0.000 1.842 0.000 N
2.630 1.842 2.630 Mg
2.630 0.000 0.000 Se
0.000 0.000 2.630 Se

Entry 18:
MgSnPtN2, optimized geometry, DFT PBE-GGA; calculated density = 4.6 Mg/m³; formation energy from raw total energies = 7.33 eV per formula unit; E_tot = -4.191 eV/atom
1.0
3.937 0.000 0.000
0.000 3.937 0.000
0.000 0.000 8.540
Sn N Pt Mg
1 2 1 1
Cartesian
0.000 0.000 0.000 Sn
0.000 1.969 0.000 N
1.969 0.000 0.000 N
1.969 1.969 4.270 Pt
0.000 0.000 4.270 Mg

Entry 19:
MgTe2PtN, optimized geometry, DFT PBE-GGA; calculated density = 7.3 Mg/m³; formation energy from raw total energies = 4.44 eV per formula unit; distance to the lowest polymorph of the same formula = 0.659 eV per atom; E_tot = -3.560 eV/atom
1.0
5.437 0.000 0.000
0.000 5.437 0.000
0.000 0.000 3.764
N Mg Te Pt
1 1 2 1
Cartesian
0.000 0.000 1.882 N
0.000 0.000 0.000 Mg
2.719 0.000 0.000 Te
0.000 2.719 0.000 Te
2.719 2.719 1.882 Pt

Entry 20:
MgTePtN2, optimized geometry, DFT PBE-GGA; calculated density = 5.0 Mg/m³; formation energy from raw total energies = 4.27 eV per formula unit; distance to the lowest polymorph of the same formula = 0.000 eV per atom; E_tot = -4.631 eV/atom
1.0
3.827 0.000 0.000
0.000 3.827 0.000
0.000 0.000 8.505
Te Mg Pt N
1 1 1 2
Cartesian
0.000 0.000 4.253 Te
1.913 1.913 4.253 Mg
0.000 0.000 0.000 Pt
0.000 1.913 0.000 N
1.913 0.000 0.000 N